Record 1
## TaCrCl2 (GGA-PBEsol)

Data for a relaxed structure of TaCrCl2.

The structure in POSCAR format:
```
TaCrCl2
1.0
-0.043 -2.812 1.076
2.303 -1.399 -3.564
3.828 0.772 2.171
Ta Cl Cr
1 2 1
Cartesian
-0.022 -1.406 0.538
1.914 0.386 1.086
1.152 -0.700 -1.782
3.044 -1.720 -0.158
```

Properties
Energy relative to the elements, uncorrected (eV per atom): 0.532
Calculated density (g cm⁻³): 8.4


Record 2
## FePO3 (GGA-PBEsol)

Data for a relaxed structure of FePO3.

The structure in POSCAR format:
```
FePO3
1.0
3.540 0.000 0.000
0.000 3.540 0.000
0.000 0.000 3.540
Fe O P
1 3 1
Cartesian
1.770 1.770 1.770
0.000 1.770 0.000
0.000 0.000 1.770
1.770 0.000 0.000
0.000 0.000 0.000
```

Properties
Energy relative to the elements, uncorrected (eV per atom): -0.725
Calculated density (g cm⁻³): 5.0